# Pm2MoO8 (PBE with a Hubbard U, optimized geometry)
data_Pm2MoO8
_space_group_name_H-M_alt 'C 1 2/m 1'
_space_group_IT_number 12
_space_group_name_Hall '-C 2y'
_cell_length_a 7.1478
_cell_length_b 10.6070
_cell_length_c 5.1184
_cell_angle_alpha 90.00
_cell_angle_beta 128.50
_cell_angle_gamma 90.00
loop_
_atom_site_label
_atom_site_fract_x
_atom_site_fract_y
_atom_site_fract_z
Pm1 0.0000 0.1855 0.0000
Mo1 0.0000 0.5000 0.5000
O1 0.0000 0.2085 0.5000
O2 0.1073 0.3673 0.8354
O3 0.1806 0.0000 0.3511
# - energy (eV/atom) = -6.890
# - magnetization (μB per cell) = 8.08